1.
This record from the Alexandria database describes a relaxed BaLiCaZn crystal. The functional is PBE.

Computed properties:
E above lowest polymorph: 0.000 eV per formula unit
Crystal system: cubic
Total moment: 0.00 μB per cell
DOS(E_F): 3.741 states/eV/f.u.

a = 5.6665 Å, b = 5.6665 Å, c = 5.6665 Å
α = 60.00°, β = 60.00°, γ = 60.00°
With the nearest neighbours (Å) after each atom.
Fractional positions:
Ba1 0.0000 0.0000 0.0000  4 Li 3.47, 4 Zn 3.47
Li1 0.7500 0.7500 0.7500  4 Ca 3.47, 4 Ba 3.47
Ca1 0.5000 0.5000 0.5000  4 Li 3.47, 4 Zn 3.47
Zn1 0.2500 0.2500 0.2500  4 Ba 3.47, 4 Ca 3.47

---

2.
This record from the Alexandria database describes a relaxed BaLiCa2Zn crystal. The functional is PBE.

Computed properties:
E above lowest polymorph: 0.248 eV per formula unit
Crystal system: tetragonal
Total moment: 0.00 μB per cell
DOS(E_F): 4.431 states/eV/f.u.

a = 5.8853 Å, b = 5.8853 Å, c = 6.2516 Å
α = 90.00°, β = 90.00°, γ = 90.00°
With the nearest neighbours (Å) after each atom.
Fractional positions:
Ba1 0.0000 0.0000 0.0000  2 Zn 3.13
Li1 0.5000 0.5000 0.0000  4 Ba 4.16, 8 Ca 4.29
Ca1 0.0000 0.5000 0.5000  2 Zn 2.94
Ca2 0.5000 0.0000 0.5000  2 Zn 2.94
Zn1 0.0000 0.0000 0.5000  4 Ca 2.94, 2 Ba 3.13

---

3.
This record from the Alexandria database describes a relaxed BaLiCa2Zn crystal. The functional is PBE.

Computed properties:
E above lowest polymorph: 0.000 eV per formula unit
Crystal system: tetragonal
Total moment: 0.00 μB per cell
DOS(E_F): 5.492 states/eV/f.u.

a = 5.8871 Å, b = 5.8871 Å, c = 5.4131 Å
α = 90.00°, β = 90.00°, γ = 90.00°
With the nearest neighbours (Å) after each atom.
Fractional positions:
Ba1 0.0000 0.0000 0.0000  8 Ca 4.00, 4 Li 4.16
Li1 0.5000 0.5000 0.0000  2 Zn 2.71
Ca1 0.0000 0.5000 0.5000  2 Zn 2.94
Ca2 0.5000 0.0000 0.5000  2 Zn 2.94
Zn1 0.5000 0.5000 0.5000  2 Li 2.71, 4 Ca 2.94

---

4.
This record from the Alexandria database describes a relaxed Ba2LiCaZn crystal. The functional is PBE.

Computed properties:
E above lowest polymorph: 0.000 eV per formula unit
Crystal system: tetragonal
Total moment: 0.00 μB per cell
DOS(E_F): 5.274 states/eV/f.u.

a = 6.5834 Å, b = 6.5834 Å, c = 5.1015 Å
α = 90.00°, β = 90.00°, γ = 90.00°
With the nearest neighbours (Å) after each atom.
Fractional positions:
Ba1 0.0000 0.5000 0.0000  2 Zn 3.29
Ba2 0.5000 0.0000 0.0000  2 Zn 3.29
Li1 0.0000 0.0000 0.5000  2 Zn 2.55
Ca1 0.5000 0.5000 0.5000  8 Ba 4.16, 4 Li 4.66
Zn1 0.0000 0.0000 0.0000  2 Li 2.55

---

5.
This record from the Alexandria database describes a relaxed BaLi2CaZr crystal. The functional is PBE.

Computed properties:
E: -0.15627 Ry/atom
Crystal system: tetragonal
Total moment: 2.05 μB per cell
DOS(E_F): 6.003 states/eV/f.u.

a = 5.2440 Å, b = 5.2440 Å, c = 6.1563 Å
α = 90.00°, β = 90.00°, γ = 90.00°
With the nearest neighbours (Å) after each atom.
Fractional positions:
Ba1 0.0000 0.0000 0.0000  2 Ca 3.08
Li1 0.0000 0.5000 0.5000  2 Ca 2.62
Li2 0.5000 0.0000 0.5000  2 Ca 2.62
Ca1 0.0000 0.0000 0.5000  4 Li 2.62
Zr1 0.5000 0.5000 0.0000  4 Ba 3.71, 8 Li 4.04

---

6.
This record from the Alexandria database describes a relaxed BaCa2Lu crystal. The functional is PBE.

Computed properties:
E above lowest polymorph: 0.216 eV per formula unit
Crystal system: cubic
Total moment: 0.03 μB per cell
DOS(E_F): 7.399 states/eV/f.u.

a = 6.1639 Å, b = 6.1639 Å, c = 6.1639 Å
α = 60.00°, β = 60.00°, γ = 60.00°
With the nearest neighbours (Å) after each atom.
Fractional positions:
Ba1 0.0000 0.0000 0.0000  8 Ca 3.77
Ca1 0.2500 0.2500 0.2500  4 Ba 3.77, 4 Lu 3.77
Ca2 0.7500 0.7500 0.7500  4 Ba 3.77, 4 Lu 3.77
Lu1 0.5000 0.5000 0.5000  8 Ca 3.77

---

7.
This record from the Alexandria database describes a relaxed BaCa2Lu crystal. The functional is PBE.

Computed properties:
E above lowest polymorph: 0.000 eV per formula unit
Crystal system: tetragonal
Total moment: 0.00 μB per cell
DOS(E_F): 5.154 states/eV/f.u.

a = 4.1457 Å, b = 4.1457 Å, c = 9.8223 Å
α = 90.00°, β = 90.00°, γ = 90.00°
With the nearest neighbours (Å) after each atom.
Fractional positions:
Ba1 0.0000 0.0000 0.0000  8 Ca 4.11, 4 Ba 4.15
Ca1 0.5000 0.5000 0.2929  4 Lu 3.57
Ca2 0.5000 0.5000 0.7071  4 Lu 3.57
Lu1 0.0000 0.0000 0.5000  8 Ca 3.57

---

8.
This record from the Alexandria database describes a relaxed BaCa2Lu crystal. The functional is PBE.

Computed properties:
E above lowest polymorph: 0.250 eV per formula unit
Crystal system: tetragonal
Total moment: 0.00 μB per cell
DOS(E_F): 5.483 states/eV/f.u.

a = 6.1304 Å, b = 6.1304 Å, c = 4.3795 Å
α = 90.00°, β = 90.00°, γ = 90.00°
With the nearest neighbours (Å) after each atom.
Fractional positions:
Ba1 0.0000 0.0000 0.0000  8 Ca 3.77
Ca1 0.0000 0.5000 0.5000  4 Ba 3.77, 4 Lu 3.77
Ca2 0.5000 0.0000 0.5000  4 Ba 3.77, 4 Lu 3.77
Lu1 0.5000 0.5000 0.0000  8 Ca 3.77

---

9.
This record from the Alexandria database describes a relaxed Ba4Ca3Mg crystal. The functional is PBE.

Computed properties:
E: -0.13952 Ry/atom
Crystal system: tetragonal
Total moment: 0.00 μB per cell
DOS(E_F): 10.913 states/eV/f.u.

a = 4.4528 Å, b = 4.4528 Å, c = 20.1311 Å
α = 90.00°, β = 90.00°, γ = 90.00°
With the nearest neighbours (Å) after each atom.
Fractional positions:
Ba1 0.0000 0.0000 0.1036  4 Mg 3.78, 4 Ca 4.16, 1 Ba 4.17
Ba2 0.0000 0.0000 0.3701  8 Ca 4.09-4.12, 4 Ba 4.45
Ba3 0.0000 0.0000 0.6299  8 Ca 4.09-4.12, 4 Ba 4.45
Ba4 0.0000 0.0000 0.8964  4 Mg 3.78, 4 Ca 4.16, 1 Ba 4.17
Ca1 0.5000 0.5000 0.2385  8 Ba 4.12-4.16, 4 Ca 4.45
Ca2 0.5000 0.5000 0.5000  8 Ba 4.09, 4 Ca 4.45
Ca3 0.5000 0.5000 0.7615  8 Ba 4.12-4.16, 4 Ca 4.45
Mg1 0.5000 0.5000 0.0000  8 Ba 3.78

---

10.
This record from the Alexandria database describes a relaxed Ba3CaMg crystal. The functional is PBE.

Computed properties:
E above lowest polymorph: 0.069 eV per formula unit
Crystal system: cubic
Total moment: 0.00 μB per cell
DOS(E_F): 8.049 states/eV/f.u.

a = 9.1085 Å, b = 9.1085 Å, c = 9.1085 Å
α = 90.00°, β = 90.00°, γ = 90.00°
With the nearest neighbours (Å) after each atom.
Fractional positions:
Ba1 0.0000 0.0000 0.0000  8 Ba 4.30, 6 Ca 4.55
Ba2 0.2728 0.2728 0.2728  3 Mg 3.84, 3 Ca 4.08, 3 Ba 4.14
Ba3 0.2728 0.2728 0.7272  3 Mg 3.84, 3 Ca 4.08, 3 Ba 4.14
Ba4 0.2728 0.7272 0.2728  3 Mg 3.84, 3 Ca 4.08, 3 Ba 4.14
Ba5 0.2728 0.7272 0.7272  3 Mg 3.84, 3 Ca 4.08, 3 Ba 4.14
Ba6 0.7272 0.2728 0.2728  3 Mg 3.84, 3 Ca 4.08, 3 Ba 4.14
Ba7 0.7272 0.2728 0.7272  3 Mg 3.84, 3 Ca 4.08, 3 Ba 4.14
Ba8 0.7272 0.7272 0.2728  3 Mg 3.84, 3 Ca 4.08, 3 Ba 4.14
Ba9 0.7272 0.7272 0.7272  3 Mg 3.84, 3 Ca 4.08, 3 Ba 4.14
Ca1 0.0000 0.0000 0.5000  10 Ba 4.08-4.55, 4 Mg 4.55
Ca2 0.0000 0.5000 0.0000  10 Ba 4.08-4.55, 4 Mg 4.55
Ca3 0.5000 0.0000 0.0000  10 Ba 4.08-4.55, 4 Mg 4.55
Mg1 0.0000 0.5000 0.5000  8 Ba 3.84
Mg2 0.5000 0.0000 0.5000  8 Ba 3.84
Mg3 0.5000 0.5000 0.0000  8 Ba 3.84

---

11.
This record from the Alexandria database describes a relaxed Ba4CaMg crystal. The functional is PBE.

Computed properties:
E above lowest polymorph: 0.000 eV per formula unit
Crystal system: tetragonal
Total moment: 0.00 μB per cell
DOS(E_F): 9.538 states/eV/f.u.

a = 4.4284 Å, b = 4.4284 Å, c = 16.2551 Å
α = 90.00°, β = 90.00°, γ = 90.00°
With the nearest neighbours (Å) after each atom.
Fractional positions:
Ba1 0.0000 0.0000 0.1284  4 Mg 3.76, 1 Ba 4.17
Ba2 0.0000 0.0000 0.8716  4 Mg 3.76, 1 Ba 4.17
Ba3 0.5000 0.5000 0.3327  4 Ca 4.15, 8 Ba 4.43-4.56
Ba4 0.5000 0.5000 0.6673  4 Ca 4.15, 8 Ba 4.43-4.56
Ca1 0.0000 0.0000 0.5000  8 Ba 4.15, 4 Ca 4.43
Mg1 0.5000 0.5000 0.0000  8 Ba 3.76

---

12.
This record from the Alexandria database describes a relaxed Ba4CaMg crystal. The functional is PBE.

Computed properties:
E above lowest polymorph: 0.687 eV per formula unit
Crystal system: monoclinic
Total moment: 0.00 μB per cell
DOS(E_F): 8.595 states/eV/f.u.

a = 6.8746 Å, b = 6.8746 Å, c = 12.9450 Å
α = 113.90°, β = 113.90°, γ = 35.41°
With the nearest neighbours (Å) after each atom.
Fractional positions:
Ba1 0.1494 0.1494 0.3553  3 Mg 3.85-4.16, 7 Ba 4.12-4.28, 1 Ca 4.16
Ba2 0.3403 0.3403 0.1685  1 Mg 3.89, 3 Ca 4.04-4.17, 5 Ba 4.15-4.28
Ba3 0.6597 0.6597 0.8315  1 Mg 3.89, 3 Ca 4.04-4.17, 5 Ba 4.15-4.28
Ba4 0.8506 0.8506 0.6447  3 Mg 3.85-4.16, 7 Ba 4.12-4.28, 1 Ca 4.16
Ca1 0.0000 0.0000 0.0000  8 Ba 4.04-4.17, 2 Ca 4.18
Mg1 0.5000 0.5000 0.5000  8 Ba 3.85-4.16, 2 Mg 4.18

---

What did the tenth record say?
This record from the Alexandria database describes a relaxed Ba3CaMg crystal. The functional is PBE.

Computed properties:
E above lowest polymorph: 0.069 eV per formula unit
Crystal system: cubic
Total moment: 0.00 μB per cell
DOS(E_F): 8.049 states/eV/f.u.

a = 9.1085 Å, b = 9.1085 Å, c = 9.1085 Å
α = 90.00°, β = 90.00°, γ = 90.00°
With the nearest neighbours (Å) after each atom.
Fractional positions:
Ba1 0.0000 0.0000 0.0000  8 Ba 4.30, 6 Ca 4.55
Ba2 0.2728 0.2728 0.2728  3 Mg 3.84, 3 Ca 4.08, 3 Ba 4.14
Ba3 0.2728 0.2728 0.7272  3 Mg 3.84, 3 Ca 4.08, 3 Ba 4.14
Ba4 0.2728 0.7272 0.2728  3 Mg 3.84, 3 Ca 4.08, 3 Ba 4.14
Ba5 0.2728 0.7272 0.7272  3 Mg 3.84, 3 Ca 4.08, 3 Ba 4.14
Ba6 0.7272 0.2728 0.2728  3 Mg 3.84, 3 Ca 4.08, 3 Ba 4.14
Ba7 0.7272 0.2728 0.7272  3 Mg 3.84, 3 Ca 4.08, 3 Ba 4.14
Ba8 0.7272 0.7272 0.2728  3 Mg 3.84, 3 Ca 4.08, 3 Ba 4.14
Ba9 0.7272 0.7272 0.7272  3 Mg 3.84, 3 Ca 4.08, 3 Ba 4.14
Ca1 0.0000 0.0000 0.5000  10 Ba 4.08-4.55, 4 Mg 4.55
Ca2 0.0000 0.5000 0.0000  10 Ba 4.08-4.55, 4 Mg 4.55
Ca3 0.5000 0.0000 0.0000  10 Ba 4.08-4.55, 4 Mg 4.55
Mg1 0.0000 0.5000 0.5000  8 Ba 3.84
Mg2 0.5000 0.0000 0.5000  8 Ba 3.84
Mg3 0.5000 0.5000 0.0000  8 Ba 3.84

---

- The highest DOS(E_F) belongs to which entry?
  Ba4Ca3Mg